# Tl2CoAg2F6 GGA+U optimized geometry
data_Tl2CoAg2F6
_chemical_formula_sum 'Tl4 Co2 Ag4 F12'
_space_group_name_H-M_alt 'C 1 2/m 1'
_space_group_IT_number 12
_cell_length_a 6.4021
_cell_length_b 10.3130
_cell_length_c 6.2287
_cell_angle_alpha 90.00
_cell_angle_beta 103.71
_cell_angle_gamma 90.00
loop_
_space_group_symop_operation_xyz
'x,y,z'
'-x,-y,-z'
'-x,y,-z'
'x,-y,z'
'x+1/2,y+1/2,z'
'-x+1/2,-y+1/2,-z'
'-x+1/2,y+1/2,-z'
'x+1/2,-y+1/2,z'
loop_
_atom_site_label
_atom_site_type_symbol
_atom_site_fract_x
_atom_site_fract_y
_atom_site_fract_z
Tl1 Tl 0.0000 0.1901 0.0000
Co1 Co 0.0000 0.0000 0.5000
Ag1 Ag 0.0000 0.3562 0.5000
F1 F 0.1774 0.0000 0.2562
F2 F 0.2041 0.1430 0.6610
# - Raw total energy: -4.00 eV per atom
# - Calculated volume: 400 Å³/cell
# - Size of the total moment: 3.01 μB/f.u.
# - Crystal system: monoclinic